# 1
A plane-wave DFT calculation with PBE-GGA was carried out for OsPt after structural relaxation.

```
OsPt
1.0
6.907 0.000 0.000
0.000 6.907 0.000
0.000 0.000 3.929
Os Pt
4 4
Cartesian
5.726 1.181 0.000
2.273 2.273 1.964
4.634 4.634 1.964
1.181 5.726 0.000
5.659 5.659 0.000
2.206 4.701 1.964
4.701 2.206 1.964
1.248 1.248 0.000
```

The crystal system is tetragonal.

---

# 2
A plane-wave DFT calculation with PBE-GGA was carried out for OsPt2 after structural relaxation.

```
OsPt2
1.0
-2.451 -4.444 0.192
-1.031 3.664 3.362
-1.366 1.987 -4.470
Os Pt
2 4
Cartesian
-2.611 -0.585 2.666
-0.870 -0.195 0.889
-1.409 1.622 -1.024
-2.016 1.961 2.023
-2.831 -0.754 -2.938
-3.438 -0.414 0.109
```

For the relative energy among the computed polymorphs, the calculation gives 348.6 meV/atom. The crystal system is tetragonal.

---

# 3
A plane-wave DFT calculation with PBE-GGA was carried out for Os2Pt after structural relaxation.

```
Os2Pt
1.0
7.429 -0.005 0.000
-6.916 2.712 0.000
0.000 0.000 4.404
Os Pt
4 2
Cartesian
-6.829 2.696 0.000
-3.815 2.125 2.202
1.117 1.191 2.202
2.583 0.913 0.000
-2.211 1.821 0.000
5.912 0.282 2.202
```

For the relative energy among the computed polymorphs, the calculation gives 0.0 meV/atom. The crystal system is orthorhombic.

---

Calculated values (meV per atom) of calculated formation energy for the records, taken in order: 1339.3, 420.9, 49.3.